Arrangement w

# InSbIN2 | Alexandria via LeMat-Bulk | PBE | optimized geometry
# - N(E_F): 1.2 states/eV per cell
data_InSbIN2
_chemical_formula_sum 'In1 Sb1 I1 N2'
_space_group_name_H-M_alt 'P 1'
_space_group_IT_number 1
_space_group_name_Hall 'P 1'
_cell_length_a 4.2900
_cell_length_b 4.2900
_cell_length_c 6.2406
_cell_angle_alpha 90.00
_cell_angle_beta 90.00
_cell_angle_gamma 90.00
loop_
_atom_site_label
_atom_site_type_symbol
_atom_site_fract_x
_atom_site_fract_y
_atom_site_fract_z
N1 N 0.5000 0.0000 0.0000
N2 N 0.0000 0.5000 0.0000
I1 I 0.0000 0.0000 0.5000
Sb1 Sb 0.0000 0.0000 0.0000
In1 In 0.5000 0.5000 0.5000

Arrangement x

# InSbIN2 | Alexandria via LeMat-Bulk | PBE | optimized geometry
# - N(E_F): 3.0 states/eV per cell
data_InSbIN2
_chemical_formula_sum 'In1 Sb1 I1 N2'
_space_group_name_H-M_alt 'P 1'
_space_group_IT_number 1
_space_group_name_Hall 'P 1'
_cell_length_a 4.4597
_cell_length_b 4.4597
_cell_length_c 6.3025
_cell_angle_alpha 90.00
_cell_angle_beta 90.00
_cell_angle_gamma 90.00
loop_
_atom_site_label
_atom_site_type_symbol
_atom_site_fract_x
_atom_site_fract_y
_atom_site_fract_z
N1 N 0.0000 0.5000 0.0000
N2 N 0.5000 0.0000 0.0000
In1 In 0.0000 0.0000 0.0000
I1 I 0.0000 0.0000 0.5000
Sb1 Sb 0.5000 0.5000 0.5000

Going by the energies, arrangement w is most stable and the next is 386 meV/atom up.

Arrangement w

# ScInIN2 | Alexandria via LeMat-Bulk | PBE | optimized geometry
# - N(E_F): 2.2 states/eV per cell
data_ScInIN2
_chemical_formula_sum 'Sc1 In1 I1 N2'
_space_group_name_H-M_alt 'P 1'
_space_group_IT_number 1
_space_group_name_Hall 'P 1'
_cell_length_a 4.4426
_cell_length_b 4.4426
_cell_length_c 5.9072
_cell_angle_alpha 90.00
_cell_angle_beta 90.00
_cell_angle_gamma 90.00
loop_
_atom_site_label
_atom_site_type_symbol
_atom_site_fract_x
_atom_site_fract_y
_atom_site_fract_z
In1 In 0.5000 0.5000 0.5000
N1 N 0.5000 0.0000 0.0000
N2 N 0.0000 0.5000 0.0000
I1 I 0.0000 0.0000 0.5000
Sc1 Sc 0.0000 0.0000 0.0000

Arrangement x

# ScInIN2 | Alexandria via LeMat-Bulk | PBE | optimized geometry
# - N(E_F): 3.3 states/eV per cell
data_ScInIN2
_chemical_formula_sum 'Sc1 In1 I1 N2'
_space_group_name_H-M_alt 'P 1'
_space_group_IT_number 1
_space_group_name_Hall 'P 1'
_cell_length_a 4.3091
_cell_length_b 4.3091
_cell_length_c 5.8035
_cell_angle_alpha 90.00
_cell_angle_beta 90.00
_cell_angle_gamma 90.00
loop_
_atom_site_label
_atom_site_type_symbol
_atom_site_fract_x
_atom_site_fract_y
_atom_site_fract_z
N1 N 0.5000 0.0000 0.0000
N2 N 0.0000 0.5000 0.0000
I1 I 0.0000 0.0000 0.5000
In1 In 0.0000 0.0000 0.0000
Sc1 Sc 0.5000 0.5000 0.5000

Going by the energies, arrangement w is most stable and the next is 560 meV/atom up.

Arrangement w

# InSeIN2 | Alexandria via LeMat-Bulk | PBE | optimized geometry
# - N(E_F): 2.7 states/eV per cell
data_InSeIN2
_chemical_formula_sum 'In1 Se1 I1 N2'
_space_group_name_H-M_alt 'P 1'
_space_group_IT_number 1
_space_group_name_Hall 'P 1'
_cell_length_a 4.4771
_cell_length_b 4.4771
_cell_length_c 6.1303
_cell_angle_alpha 90.00
_cell_angle_beta 90.00
_cell_angle_gamma 90.00
loop_
_atom_site_label
_atom_site_type_symbol
_atom_site_fract_x
_atom_site_fract_y
_atom_site_fract_z
N1 N 0.5000 0.0000 0.0000
N2 N 0.0000 0.5000 0.0000
In1 In 0.0000 0.0000 0.0000
Se1 Se 0.0000 0.0000 0.5000
I1 I 0.5000 0.5000 0.5000

Arrangement x

# InSeIN2 | Alexandria via LeMat-Bulk | PBE | optimized geometry
# - N(E_F): 3.3 states/eV per cell
data_InSeIN2
_chemical_formula_sum 'In1 Se1 I1 N2'
_space_group_name_H-M_alt 'P 1'
_space_group_IT_number 1
_space_group_name_Hall 'P 1'
_cell_length_a 4.3822
_cell_length_b 4.3822
_cell_length_c 6.7891
_cell_angle_alpha 90.00
_cell_angle_beta 90.00
_cell_angle_gamma 90.00
loop_
_atom_site_label
_atom_site_type_symbol
_atom_site_fract_x
_atom_site_fract_y
_atom_site_fract_z
N1 N 0.0000 0.5000 0.0000
N2 N 0.5000 0.0000 0.0000
I1 I 0.0000 0.0000 0.5000
Se1 Se 0.5000 0.5000 0.5000
In1 In 0.0000 0.0000 0.0000

Arrangement y

# InSeIN2 | Alexandria via LeMat-Bulk | PBE | optimized geometry
# - N(E_F): 3.2 states/eV per cell
data_InSeIN2
_chemical_formula_sum 'In1 Se1 I1 N2'
_space_group_name_H-M_alt 'P 1'
_space_group_IT_number 1
_space_group_name_Hall 'P 1'
_cell_length_a 4.1118
_cell_length_b 4.1118
_cell_length_c 5.8944
_cell_angle_alpha 90.00
_cell_angle_beta 90.00
_cell_angle_gamma 90.00
loop_
_atom_site_label
_atom_site_type_symbol
_atom_site_fract_x
_atom_site_fract_y
_atom_site_fract_z
In1 In 0.5000 0.5000 0.5000
N1 N 0.5000 0.0000 0.0000
N2 N 0.0000 0.5000 0.0000
Se1 Se 0.0000 0.0000 0.5000
I1 I 0.0000 0.0000 0.0000

Arrangement z

# InSeIN2 | Alexandria via LeMat-Bulk | PBE | optimized geometry
# - N(E_F): 2.3 states/eV per cell
data_InSeIN2
_chemical_formula_sum 'In1 Se1 I1 N2'
_space_group_name_H-M_alt 'P 1'
_space_group_IT_number 1
_space_group_name_Hall 'P 1'
_cell_length_a 4.1651
_cell_length_b 4.1651
_cell_length_c 7.2301
_cell_angle_alpha 90.00
_cell_angle_beta 90.00
_cell_angle_gamma 90.00
loop_
_atom_site_label
_atom_site_type_symbol
_atom_site_fract_x
_atom_site_fract_y
_atom_site_fract_z
In1 In 0.5000 0.5000 0.5000
Se1 Se 0.0000 0.0000 0.0000
N1 N 0.5000 0.0000 0.0000
N2 N 0.0000 0.5000 0.0000
I1 I 0.0000 0.0000 0.5000

Going by the energies, arrangement w is most stable and the next is 86 meV/atom up.

Arrangement w

# SrInI2N | Alexandria via LeMat-Bulk | PBE | optimized geometry
# - N(E_F): 1.0 states/eV per cell
data_SrInI2N
_chemical_formula_sum 'Sr1 In1 I2 N1'
_space_group_name_H-M_alt 'P 1'
_space_group_IT_number 1
_space_group_name_Hall 'P 1'
_cell_length_a 6.5169
_cell_length_b 6.5169
_cell_length_c 5.0602
_cell_angle_alpha 90.00
_cell_angle_beta 90.00
_cell_angle_gamma 90.00
loop_
_atom_site_label
_atom_site_type_symbol
_atom_site_fract_x
_atom_site_fract_y
_atom_site_fract_z
N1 N 0.0000 0.0000 0.5000
Sr1 Sr 0.0000 0.0000 0.0000
I1 I 0.5000 0.0000 0.0000
I2 I 0.0000 0.5000 0.0000
In1 In 0.5000 0.5000 0.5000

Arrangement x

# SrInI2N | Alexandria via LeMat-Bulk | PBE | optimized geometry
# - N(E_F): 2.8 states/eV per cell
data_SrInI2N
_chemical_formula_sum 'Sr1 In1 I2 N1'
_space_group_name_H-M_alt 'P 1'
_space_group_IT_number 1
_space_group_name_Hall 'P 1'
_cell_length_a 5.8656
_cell_length_b 5.8656
_cell_length_c 4.3783
_cell_angle_alpha 90.00
_cell_angle_beta 90.00
_cell_angle_gamma 90.00
loop_
_atom_site_label
_atom_site_type_symbol
_atom_site_fract_x
_atom_site_fract_y
_atom_site_fract_z
Sr1 Sr 0.5000 0.5000 0.5000
N1 N 0.0000 0.0000 0.5000
I1 I 0.5000 0.0000 0.0000
I2 I 0.0000 0.5000 0.0000
In1 In 0.0000 0.0000 0.0000

Going by the energies, arrangement w is most stable and the next is 23 meV/atom up.